## a
## NiSb2TeBr (PBE)

Data for a relaxed NiSb2TeBr crystal.

```
NiSb2TeBr
1.0
5.4367 0.0000 0.0000
0.0000 5.4367 0.0000
0.0000 0.0000 5.6772
Ni Sb Te Br
1 2 1 1
Direct
0.0000 0.0000 0.0000 Ni
0.0000 0.5000 0.5000 Sb
0.5000 0.0000 0.5000 Sb
0.5000 0.5000 0.0000 Te
0.5000 0.5000 0.5000 Br
```

Calculated values
Calculated density (g/cm3): 5.04



## b
## NiSb2TeBr (PBE)

Data for a relaxed NiSb2TeBr crystal.

```
NiSb2TeBr
1.0
5.1307 0.0000 0.0000
0.0000 5.1307 0.0000
0.0000 0.0000 5.0055
Ni Sb Te Br
1 2 1 1
Direct
0.0000 0.0000 0.0000 Ni
0.0000 0.5000 0.0000 Sb
0.5000 0.0000 0.0000 Sb
0.0000 0.0000 0.5000 Te
0.5000 0.5000 0.5000 Br
```

Calculated values
Calculated density (g/cm3): 6.42



Ordering by calculated energy gives the sequence b, a, with the first entry being the most stable.



## a
## ScNi3Br (PBE)

Data for a relaxed ScNi3Br crystal.

```
ScNi3Br
1.0
4.5953 0.0000 0.0000
0.0000 4.5953 0.0000
0.0000 0.0000 4.5953
Sc Ni Br
1 3 1
Direct
0.0000 0.0000 0.0000 Sc
0.0000 0.0000 0.5000 Ni
0.0000 0.5000 0.0000 Ni
0.5000 0.0000 0.0000 Ni
0.5000 0.5000 0.5000 Br
```

Calculated values
Calculated density (g/cm3): 5.15



## b
## ScNi3Br (PBE)

Data for a relaxed ScNi3Br crystal.

```
ScNi3Br
1.0
4.4084 0.0000 0.0000
0.0000 4.4084 0.0000
0.0000 0.0000 4.4084
Sc Ni Br
1 3 1
Direct
0.0000 0.0000 0.0000 Sc
0.0000 0.5000 0.5000 Ni
0.5000 0.0000 0.5000 Ni
0.5000 0.5000 0.0000 Ni
0.5000 0.5000 0.5000 Br
```

Calculated values
Calculated density (g/cm3): 5.83



Ordering by calculated energy gives the sequence b, a, with the first entry being the most stable.